1.
Below is an optimized crystal structure of CdSiBiMo2, with properties calculated at the PBE level.

a b c (Å): 4.7642 4.7642 4.8238
angles (deg): 90.00 90.00 90.00
Space group P4/mmm (No. 123)
One atom of each set of equivalent atoms:
Cd (0.0000, 0.0000, 0.0000)
Si (0.0000, 0.0000, 0.5000)
Bi (0.5000, 0.5000, 0.0000)
Mo (0.0000, 0.5000, 0.5000)

Computed properties:
Raw formation energy: 4.56 eV/f.u.
V: 21.9 A^3/atom
Density: 8.21 g/cm³
M_tot: 3.51 μB per cell



2.
Below is an optimized crystal structure of YbGa6Fe6, with properties calculated at the PBE level.

a b c (Å): 5.1992 11.9572 12.2717
angles (deg): 90.00 90.00 90.00
Space group Fmmm (No. 69)
One atom of each set of equivalent atoms:
Yb (0.0000, 0.0000, 0.0000)
Ga (0.0000, 0.1670, 0.1830)
Ga (0.2500, 0.2500, 0.0000)
Fe (0.0000, 0.1023, 0.3913)
Fe (0.2500, 0.0000, 0.2500)

Computed properties:
V: 14.7 A^3/atom
Density: 8.07 g/cm³
Energy relative to the lowest polymorph listed for this composition: 0.148 eV per atom
Energy of formation: -1.724 eV per formula unit
M_tot: 53.43 μB per cell



3.
Below is an optimized crystal structure of SrMg9Zn2, with properties calculated at the PBE level.

a b c (Å): 12.0493 12.0493 7.7272
angles (deg): 90.00 90.00 90.00
Space group I4_1/amd (No. 141, origin choice 2)
One atom of each set of equivalent atoms:
Sr (0.0000, 0.2500, 0.3750)
Mg (0.0000, 0.2500, 0.8750)
Mg (0.1235, 0.0497, 0.6876)
Zn (0.0000, 0.0000, 0.0000)

Computed properties:
V: 23.4 A^3/atom
Density: 2.59 g/cm³
Energy of formation: -1.089 eV per formula unit
M_tot: 0.00 μB per cell



4.
Below is an optimized crystal structure of HOsPb2, with properties calculated at the PBE level.

a b c (Å): 6.6934 6.6934 6.6934
angles (deg): 90.00 90.00 90.00
Space group Fm-3m (No. 225)
One atom of each set of equivalent atoms:
H (0.0000, 0.0000, 0.0000)
Os (0.0000, 0.0000, 0.5000)
Pb (0.2500, 0.2500, 0.2500)

Computed properties:
V: 18.7 A^3/atom
Density: 13.41 g/cm³
Energy relative to the lowest polymorph listed for this composition: 0.000 eV per atom
M_tot: 2.71 μB per cell



5.
Below is an optimized crystal structure of Na2Li3Ge2, with properties calculated at the PBE level.

a b c (Å): 10.8416 4.5562 6.8694
angles (deg): 90.00 118.93 90.00
Space group C2/m (No. 12)
One atom of each set of equivalent atoms:
Na (0.1614, 0.0000, 0.2786)
Li (0.0000, 0.5000, 0.5000)
Li (0.1503, 0.5000, 0.9467)
Ge (0.1084, 0.0000, 0.6948)

Computed properties:
V: 21.2 A^3/atom
Density: 2.37 g/cm³
Energy of formation: -1.408 eV per formula unit
M_tot: 0.00 μB per cell



6.
Below is an optimized crystal structure of LiYMo2, with properties calculated at the PBE level.

a b c (Å): 6.5942 6.5942 6.5942
angles (deg): 90.00 90.00 90.00
Space group Fm-3m (No. 225)
One atom of each set of equivalent atoms:
Li (0.0000, 0.0000, 0.0000)
Y (0.0000, 0.0000, 0.5000)
Mo (0.2500, 0.2500, 0.2500)

Computed properties:
V: 17.9 A^3/atom
Density: 6.67 g/cm³
Energy relative to the lowest polymorph listed for this composition: 0.691 eV per atom
Energy of formation: 3.811 eV per formula unit
M_tot: 0.00 μB per cell